## LuGaSnAu (GGA-PBE)

Data for LuGaSnAu after structural relaxation.

Lattice parameters (Å, degrees): 7.0398 7.0398 7.0398 90.00 90.00 90.00
Last column: nearest neighbours and their distance in Å.
Space group F-43m (No. 216)
Inequivalent atoms, fractional coordinates:
Lu  0.0000  0.0000  0.0000  4 Ga 3.05, 4 Au 3.05
Ga  0.2500  0.2500  0.2500  4 Sn 3.05, 4 Lu 3.05
Sn  0.0000  0.0000  0.5000  4 Au 3.05, 4 Ga 3.05
Au  0.2500  0.2500  0.7500  4 Sn 3.05, 4 Lu 3.05

Summary:
Density of states at the Fermi level ... 3.702 states/eV/f.u.
Calculated volume ... 21.81 Å³/atom
Energy of formation from the pure elements ... -0.385 eV/atom

## ScMo2Se (GGA-PBE)

Data for ScMo2Se after structural relaxation.

Lattice parameters (Å, degrees): 4.3987 4.3987 3.3854 90.00 90.00 90.00
Last column: nearest neighbours and their distance in Å.
Space group P4/mmm (No. 123)
Inequivalent atoms, fractional coordinates:
Sc  0.0000  0.0000  0.0000  8 Mo 2.78
Mo  0.0000  0.5000  0.5000  4 Se 2.78, 4 Sc 2.78
Se  0.5000  0.5000  0.0000  8 Mo 2.78

Summary:
ΔE_f (raw) ... 80 kJ/mol of formula units
ΔE to the lowest computed polymorph ... 288 meV per atom
Density of states at the Fermi level ... 5.272 states/eV/f.u.
Calculated volume ... 16.38 Å³/atom

## La6Pr3Ag (GGA-PBE)

Data for La6Pr3Ag after structural relaxation.

Lattice parameters (Å, degrees): 10.7594 5.4870 11.8967 90.00 97.58 90.00
Last column: nearest neighbours and their distance in Å.
Space group P2_1/m (No. 11)
Inequivalent atoms, fractional coordinates:
La  0.0363  0.2500  0.3543  1 Ag 3.08, 2 La 3.32
La  0.1256  0.7500  0.1725  3 Ag 3.22-3.47
La  0.1376  0.2500  0.6510  6 La 3.32-3.69, 2 Pr 3.71
La  0.2157  0.2500  0.9803  3 Ag 3.26-3.52
La  0.3315  0.7500  0.7863  1 Ag 3.32, 2 Pr 3.67-3.70, 2 La 3.69
La  0.4483  0.2500  0.5972  5 La 3.49-3.86, 7 Pr 3.58-3.73
Pr  0.2388  0.7500  0.4742  10 La 3.58-3.81, 2 Pr 3.81
Pr  0.3481  0.2500  0.2872  8 La 3.55-3.78, 4 Pr 3.81-3.84
Pr  0.4508  0.7500  0.0929  8 La 3.70-3.85, 4 Pr 3.76-3.84
Ag  0.0662  0.7500  0.8999  5 La 3.08-3.32

Summary:
Density of states at the Fermi level ... 15.567 states/eV/f.u.
Calculated volume ... 34.81 Å³/atom
Energy of formation from the pure elements ... -0.014 eV/atom

## Li3PmMg9 (GGA-PBE)

Data for Li3PmMg9 after structural relaxation.

Lattice parameters (Å, degrees): 5.5076 14.6434 7.7665 90.00 109.99 90.00
Last column: nearest neighbours and their distance in Å.
Space group C2/m (No. 12)
Inequivalent atoms, fractional coordinates:
Li  0.0000  0.0000  0.0000  6 Mg 2.75-2.95
Li  0.2500  0.2500  0.5000  2 Li 2.75, 6 Mg 2.92-3.07
Pm  0.0000  0.5000  0.5000  14 Mg 3.51-3.88, 6 Li 3.91-3.92
Mg  0.0000  0.5000  0.0000  2 Li 2.75, 4 Mg 3.01
Mg  0.0984  0.1081  0.7100  3 Li 2.92-2.95, 5 Mg 3.01-3.16
Mg  0.1729  0.3222  0.8485  6 Mg 3.06-3.38, 3 Li 3.07-3.16

Summary:
Density of states at the Fermi level ... 6.616 states/eV/f.u.
Calculated volume ... 22.64 Å³/atom
Energy of formation from the pure elements ... -0.058 eV/atom

## Tb6Pr3SmDy2 (GGA-PBE)

Data for Tb6Pr3SmDy2 after structural relaxation.

Lattice parameters (Å, degrees): 6.2451 10.8150 11.9128 90.00 100.05 90.00
Last column: nearest neighbours and their distance in Å.
Space group C2/m (No. 12)
Inequivalent atoms, fractional coordinates:
Tb  0.2487  0.0000  0.2464  2 Dy 3.56, 1 Sm 3.56, 6 Tb 3.60-3.61, 3 Pr 3.63
Tb  0.2493  0.3332  0.2463  2 Dy 3.56, 1 Sm 3.56, 6 Tb 3.60-3.61, 3 Pr 3.63
Pr  0.0000  0.0000  0.5000  6 Pr 3.60-3.61, 6 Tb 3.63
Pr  0.0000  0.3331  0.5000  6 Pr 3.60-3.61, 6 Tb 3.63
Sm  0.0000  0.5000  0.0000  6 Tb 3.56, 6 Dy 3.60-3.61
Dy  0.0000  0.1667  0.0000  6 Tb 3.56, 3 Sm 3.60-3.61, 3 Dy 3.61

Summary:
Density of states at the Fermi level ... 15.680 states/eV/f.u.
Calculated volume ... 33.01 Å³/atom
Energy of formation from the pure elements ... 0.016 eV/atom

## Cd2TcHg (GGA-PBE)

Data for Cd2TcHg after structural relaxation.

Lattice parameters (Å, degrees): 3.0543 5.1328 10.1096 90.00 90.00 90.00
Last column: nearest neighbours and their distance in Å.
Space group Cmm2 (No. 35)
Inequivalent atoms, fractional coordinates:
Cd  0.0000  0.0000  0.0000  8 Cd 2.99-3.08, 2 Hg 3.09
Cd  0.0000  0.5000  0.2651  2 Tc 2.81, 8 Cd 2.99-3.08
Tc  0.0000  0.0000  0.4985  2 Cd 2.81, 2 Hg 2.83, 6 Tc 2.99-3.05
Hg  0.0000  0.5000  0.7347  2 Tc 2.83, 6 Hg 2.99-3.05, 2 Cd 3.09

Summary:
Density of states at the Fermi level ... 2.277 states/eV/f.u.
Calculated volume ... 19.81 Å³/atom
Energy of formation from the pure elements ... 0.434 eV/atom

## NpTeAs (GGA-PBE)

Data for NpTeAs after structural relaxation.

Lattice parameters (Å, degrees): 4.7491 4.7491 4.0473 90.00 90.00 120.00
Last column: nearest neighbours and their distance in Å.
Space group P-6m2 (No. 187)
Inequivalent atoms, fractional coordinates:
Np  0.0000  0.0000  0.0000  3 As 2.74
Te  0.3333  0.6667  0.5000  6 Np 3.41, 6 As 3.41
As  0.6667  0.3333  0.0000  3 Np 2.74

Summary:
ΔE_f (raw) ... -48 kJ/mol of formula units
Density of states at the Fermi level ... 9.505 states/eV/f.u.
Calculated volume ... 26.35 Å³/atom

## BeHgS2 (GGA-PBE)

Data for BeHgS2 after structural relaxation.

Lattice parameters (Å, degrees): 3.7387 6.7976 7.2376 64.87 75.04 89.98
Last column: nearest neighbours and their distance in Å.
Space group P1 (No. 1)
Inequivalent atoms, fractional coordinates:
Be  0.0000  0.0000  0.0000  4 S 2.15-2.25
Be  0.2590  0.9440  0.4813  4 S 2.07-2.24
Hg  0.5127  0.5170  0.9803  4 S 2.52-2.59
Hg  0.7434  0.4449  0.5113  4 S 2.53-2.58
S  0.0880  0.8019  0.8267  2 Be 2.17
S  0.3109  0.2807  0.3766  1 Be 2.07
S  0.5450  0.1739  0.9098  2 Be 2.15
S  0.8210  0.8580  0.3575  3 Be 2.24-2.25

Summary:
ΔE_f (raw) ... -183 kJ/mol of formula units
ΔE to the lowest computed polymorph ... 82 meV per atom
Density of states at the Fermi level ... 0.000 states/eV/f.u.
Calculated volume ... 19.95 Å³/atom

Q: density of states at the Fermi level of number 8 (BeHgS2)?
A: 0.000 states/eV/f.u.

Q: The lowest calculated volume belongs to which entry?
A: ScMo2Se

Q: The highest density of states at the Fermi level belongs to which entry?
A: Tb6Pr3SmDy2